Record 1
A relaxed Na2SrCd6 crystal, computed with GGA-PBE.

```
Na2SrCd6
1.0
3.5809 0.0000 0.0000
0.0000 7.6823 -4.4354
0.0000 0.0000 8.8708
Cd Na Sr
6 2 1
direct
0.5000 0.3378 0.3378 Cd
0.5000 0.0000 0.3378 Cd
0.5000 0.6622 0.6622 Cd
0.5000 0.3378 0.0000 Cd
0.5000 0.0000 0.6622 Cd
0.5000 0.6622 0.0000 Cd
0.0000 0.3333 0.6667 Na
0.0000 0.6667 0.3333 Na
0.0000 0.0000 0.0000 Sr
```

Properties
Energy of formation from the pure elements (meV/atom): -168
Raw total energy (eV/cell): -11.32
E above lowest polymorph (meV/atom): 0
Symmetry: P6/mmm, No. 191

***

Record 2
A relaxed Na2Sr2Cd crystal, computed with GGA-PBE.

```
Na2Sr2Cd
1.0
4.0501 0.0000 -0.6498
-0.1043 4.0488 -0.6498
-0.1755 -0.1801 11.8522
Na Sr Cd
2 2 1
direct
0.7956 0.7956 0.5913 Na
0.2044 0.2044 0.4087 Na
0.5857 0.5857 0.1713 Sr
0.4143 0.4143 0.8287 Sr
0.0000 0.0000 0.0000 Cd
```

Properties
Energy of formation from the pure elements (meV/atom): -141
Raw total energy (eV/cell): -7.62
E above lowest polymorph (meV/atom): 0
Symmetry: I4/mmm, No. 139

***

Record 3
A relaxed Na2Sr2Cd15 crystal, computed with GGA-PBE.

```
Na2Sr2Cd15
1.0
-6.1944 4.6935 1.0144
-4.4956 -5.2508 3.6944
1.7903 2.2692 7.2852
Cd Na Sr
15 2 2
direct
0.0000 0.5000 0.0000 Cd
0.3027 0.0000 0.6973 Cd
0.1620 0.6467 0.6467 Cd
0.0000 0.3027 0.6973 Cd
0.6973 0.0000 0.3027 Cd
0.3533 0.8380 0.3533 Cd
0.6467 0.6467 0.1620 Cd
0.5000 0.0000 0.0000 Cd
0.8380 0.3533 0.3533 Cd
0.3533 0.3533 0.8380 Cd
0.0000 0.0000 0.5000 Cd
0.6973 0.3027 0.0000 Cd
0.6467 0.1620 0.6467 Cd
0.0000 0.6973 0.3027 Cd
0.3027 0.6973 0.0000 Cd
0.8995 0.8995 0.8995 Na
0.1005 0.1005 0.1005 Na
0.6557 0.6557 0.6557 Sr
0.3443 0.3443 0.3443 Sr
```

Properties
Energy of formation from the pure elements (meV/atom): -170
Raw total energy (eV/cell): -22.96
Symmetry: R-3m, No. 166

***

Record 4
A relaxed Na2Sr6Cd crystal, computed with GGA-PBE.

```
Na2Sr6Cd
1.0
6.0562 0.0000 0.2644
0.0000 11.6162 0.0000
-0.5097 0.0000 11.6101
Sr Na Cd
12 4 2
direct
0.5001 0.1892 0.9700 Sr
0.0001 0.3108 0.4700 Sr
0.0002 0.9707 0.8106 Sr
0.5002 0.5293 0.3106 Sr
0.4999 0.8108 0.0300 Sr
0.9998 0.6185 0.8823 Sr
0.4998 0.8815 0.3823 Sr
0.9998 0.0293 0.1894 Sr
0.4998 0.4707 0.6894 Sr
0.9999 0.6892 0.5300 Sr
0.0002 0.3815 0.1177 Sr
0.5002 0.1185 0.6177 Sr
0.9999 0.2966 0.7958 Na
0.0001 0.7034 0.2042 Na
0.4999 0.2034 0.2958 Na
0.5001 0.7966 0.7042 Na
0.5000 0.5000 0.0000 Cd
0.0000 0.0000 0.5000 Cd
```

Properties
Energy of formation from the pure elements (meV/atom): -48
Raw total energy (eV/cell): -28.15
E above lowest polymorph (meV/atom): 0
Symmetry: Pnnm, No. 58

***

Record 5
A relaxed Na4SrCd crystal, computed with GGA-PBE.

```
Na4SrCd
1.0
-5.4059 1.5817 -3.5510
-2.5927 -4.4114 -4.2606
-5.8385 -2.9009 1.3535
Na Cd Sr
4 1 1
direct
0.6257 0.1228 0.6257 Na
0.1228 0.6257 0.6257 Na
0.6257 0.6257 0.6257 Na
0.6257 0.6257 0.1228 Na
0.0000 0.0000 0.0000 Cd
0.2500 0.2500 0.2500 Sr
```

Properties
Energy of formation from the pure elements (meV/atom): 53
Raw total energy (eV/cell): -7.55
Symmetry: F-43m, No. 216

***

Record 6
A relaxed Na2SrCd crystal, computed with GGA-PBE.

```
Na2SrCd
1.0
3.8373 0.0000 0.0000
1.9187 3.3232 0.0000
1.9187 1.1077 12.3714
Cd Na Sr
1 2 1
direct
0.5000 0.5000 0.5000 Cd
0.1000 0.1000 0.7000 Na
0.9000 0.9000 0.3000 Na
0.0000 0.0000 0.0000 Sr
```

Properties
Energy of formation from the pure elements (meV/atom): 125
Raw total energy (eV/cell): -4.74
Symmetry: R-3m, No. 166

***

Per-record M_tot, μB per formula unit: 0.00, 0.00, 0.00, 0.00, 0.00, 0.00